First-principles (GGA+U) data for a relaxed BeV2BiO8 crystal, as listed in Alexandria via LeMat-Bulk.

abc: 5.587 5.587 5.783
angles: 90.00 90.00 120.00
Atoms (fractional coordinates):
Be 0.000 0.000 0.000
V 0.333 0.667 0.272
V 0.667 0.333 0.728
Bi 0.000 0.000 0.500
O 0.154 0.309 0.194
O 0.154 0.846 0.194
O 0.309 0.154 0.806
O 0.333 0.667 0.557
O 0.667 0.333 0.443
O 0.691 0.846 0.194
O 0.846 0.154 0.806
O 0.846 0.691 0.806

Computed properties:
Calculated total energy, eV per cell: -81.22